1.
The following is a DFT calculation (GGA-PBEsol) of a relaxed structure of As2IrPt.

The space group is P4mm (No. 99) and the conventional cell measures 2.9687, 2.9687 and 7.7856 Å, with angles of 90.00, 90.00 and 90.00 degrees. The inequivalent atoms are As at (0.0000, 0.0000, 0.0000), As at (0.5000, 0.5000, 0.3686), Ir at (0.0000, 0.0000, 0.5493) and Pt at (0.5000, 0.5000, 0.8121).

The calculation puts the formation energy from the elements at -23 meV/atom. The calculation puts the energy above the most stable polymorph in this dataset at 0 meV/atom. The value obtained for the uncorrected energy is -0.4978 Ry/atom.

***

2.
The following is a DFT calculation (GGA-PBEsol) of a relaxed structure of YTaTc2.

The space group is I-4m2 (No. 119) and the conventional cell measures 3.8154, 3.8154 and 9.6307 Å, with angles of 90.00, 90.00 and 90.00 degrees. The inequivalent atoms are Y at (0.0000, 0.0000, 0.0000), Ta at (0.0000, 0.5000, 0.2500), Tc at (0.0000, 0.0000, 0.5000) and Tc at (0.0000, 0.5000, 0.7500).

The calculation puts the formation energy from the elements at 316 meV/atom. The value obtained for the uncorrected energy is -0.7468 Ry/atom.

***

3.
The following is a DFT calculation (GGA-PBEsol) of a relaxed structure of BaY2Cu.

The space group is Pmmm (No. 47) and the conventional cell measures 3.7340, 5.5036 and 5.5714 Å, with angles of 90.00, 90.00 and 90.00 degrees. The inequivalent atoms are Ba at (0.0000, 0.0000, 0.0000), Y at (0.0000, 0.5000, 0.5000), Y at (0.5000, 0.0000, 0.5000) and Cu at (0.5000, 0.5000, 0.0000).

The calculation puts the formation energy from the elements at 344 meV/atom. The calculation puts the energy above the most stable polymorph in this dataset at 163 meV/atom. The value obtained for the uncorrected energy is -0.3446 Ry/atom.

***

4.
The following is a DFT calculation (GGA-PBEsol) of a relaxed structure of MgCrSi2.

The space group is I-4m2 (No. 119) and the conventional cell measures 3.6782, 3.6782 and 8.0946 Å, with angles of 90.00, 90.00 and 90.00 degrees. The inequivalent atoms are Mg at (0.0000, 0.0000, 0.0000), Cr at (0.0000, 0.5000, 0.7500), Si at (0.0000, 0.0000, 0.5000) and Si at (0.0000, 0.5000, 0.2500).

The value obtained for the uncorrected energy is -0.4252 Ry/atom. Its uncorrected formation energy is 0.077 eV/atom.

***

5.
The following is a DFT calculation (GGA-PBEsol) of a relaxed structure of BaN2F2.

The space group is P4/mmm (No. 123) and the conventional cell measures 5.6553, 5.6553 and 4.7988 Å, with angles of 90.00, 90.00 and 90.00 degrees. The inequivalent atoms are Ba at (0.0000, 0.0000, 0.0000), N at (0.0000, 0.5000, 0.0000), F at (0.0000, 0.0000, 0.5000) and F at (0.5000, 0.5000, 0.5000).

The value obtained for the uncorrected energy is -0.2995 Ry/atom. Its uncorrected formation energy is 0.537 eV/atom.

***

6.
The following is a DFT calculation (GGA-PBEsol) of a relaxed structure of MgNO2F.

The space group is P4/mmm (No. 123) and the conventional cell measures 4.1267, 4.1267 and 3.8762 Å, with angles of 90.00, 90.00 and 90.00 degrees. The inequivalent atoms are Mg at (0.0000, 0.0000, 0.0000), N at (0.5000, 0.5000, 0.5000), O at (0.0000, 0.5000, 0.0000) and F at (0.0000, 0.0000, 0.5000).

The value obtained for the uncorrected energy is -0.3040 Ry/atom. Its uncorrected formation energy is 0.398 eV/atom.

***

7.
The following is a DFT calculation (GGA-PBEsol) of a relaxed structure of GaAgTe2N.

The space group is P4/mmm (No. 123) and the conventional cell measures 5.6816, 5.6816 and 3.4378 Å, with angles of 90.00, 90.00 and 90.00 degrees. The inequivalent atoms are Ga at (0.0000, 0.0000, 0.0000), Ag at (0.5000, 0.5000, 0.5000), Te at (0.0000, 0.5000, 0.0000) and N at (0.0000, 0.0000, 0.5000).

The value obtained for the uncorrected energy is -0.2813 Ry/atom. Its uncorrected formation energy is 0.619 eV/atom.

***

8.
The following is a DFT calculation (GGA-PBEsol) of a relaxed structure of LiYTc.

The space group is Imm2 (No. 44) and the conventional cell measures 2.8095, 4.2835 and 8.9029 Å, with angles of 90.00, 90.00 and 90.00 degrees. The inequivalent atoms are Li at (0.0000, 0.0000, 0.0000), Y at (0.0000, 0.0000, 0.3152) and Tc at (0.0000, 0.0000, 0.6503).

The calculation puts the formation energy from the elements at 390 meV/atom. The calculation puts the energy above the most stable polymorph in this dataset at 0 meV/atom. The value obtained for the uncorrected energy is -0.4627 Ry/atom.

***

9.
The following is a DFT calculation (GGA-PBEsol) of a relaxed structure of InAgAu.

The space group is I4mm (No. 107) and the conventional cell measures 3.5698, 3.5698 and 8.6856 Å, with angles of 90.00, 90.00 and 90.00 degrees. The inequivalent atoms are In at (0.0000, 0.0000, 0.0000), Ag at (0.0000, 0.0000, 0.6698) and Au at (0.0000, 0.0000, 0.3328).

The calculation puts the formation energy from the elements at -120 meV/atom. The calculation puts the energy above the most stable polymorph in this dataset at 0 meV/atom. The value obtained for the uncorrected energy is -0.2592 Ry/atom.

***

10.
The following is a DFT calculation (GGA-PBEsol) of a relaxed structure of YZnGe.

The space group is P6_3/mmc (No. 194) and the conventional cell measures 4.1228, 4.1228 and 7.9641 Å, with angles of 90.00, 90.00 and 120.00 degrees. The inequivalent atoms are Y at (0.0000, 0.0000, 0.0000), Zn at (0.3333, 0.6667, 0.2500) and Ge at (0.3333, 0.6667, 0.7500).

The calculation puts the formation energy from the elements at -706 meV/atom. The value obtained for the uncorrected energy is -0.3788 Ry/atom.

***

11.
The following is a DFT calculation (GGA-PBEsol) of a relaxed structure of SbPb2Se.

The space group is P4mm (No. 99) and the conventional cell measures 4.3273, 4.3273 and 6.3271 Å, with angles of 90.00, 90.00 and 90.00 degrees. The inequivalent atoms are Sb at (0.0000, 0.0000, 0.0000), Pb at (0.0000, 0.0000, 0.4917), Pb at (0.5000, 0.5000, 0.9536) and Se at (0.5000, 0.5000, 0.4933).

The calculation puts the energy above the most stable polymorph in this dataset at 0 meV/atom. The value obtained for the uncorrected energy is -0.3154 Ry/atom. Its uncorrected formation energy is -0.190 eV/atom.

***

12.
The following is a DFT calculation (GGA-PBEsol) of a relaxed structure of NaMgNi2Au.

The space group is P4/mmm (No. 123) and the conventional cell measures 4.7519, 4.7519 and 4.8688 Å, with angles of 90.00, 90.00 and 90.00 degrees. The inequivalent atoms are Na at (0.0000, 0.0000, 0.0000), Mg at (0.5000, 0.5000, 0.0000), Ni at (0.0000, 0.5000, 0.5000) and Au at (0.5000, 0.5000, 0.5000).

The calculation puts the formation energy from the elements at 642 meV/atom. The value obtained for the uncorrected energy is -0.2373 Ry/atom.

***

13.
The following is a DFT calculation (GGA-PBEsol) of a relaxed structure of Nb3PBr.

The space group is Pm-3m (No. 221) and the conventional cell measures 4.6592, 4.6592 and 4.6592 Å, with angles of 90.00, 90.00 and 90.00 degrees. The inequivalent atoms are Nb at (0.0000, 0.0000, 0.5000), P at (0.0000, 0.0000, 0.0000) and Br at (0.5000, 0.5000, 0.5000).

The value obtained for the uncorrected energy is -0.5490 Ry/atom. Its uncorrected formation energy is 0.556 eV/atom.

***

14.
The following is a DFT calculation (GGA-PBEsol) of a relaxed structure of OsCO2F.

The space group is P4/mmm (No. 123) and the conventional cell measures 3.7509, 3.7509 and 4.1204 Å, with angles of 90.00, 90.00 and 90.00 degrees. The inequivalent atoms are Os at (0.0000, 0.0000, 0.0000), C at (0.5000, 0.5000, 0.5000), O at (0.0000, 0.5000, 0.0000) and F at (0.0000, 0.0000, 0.5000).

The value obtained for the uncorrected energy is -0.4523 Ry/atom. Its uncorrected formation energy is 0.704 eV/atom.

***

15.
The following is a DFT calculation (GGA-PBEsol) of a relaxed structure of Ba3TlBr.

The space group is Pm-3m (No. 221) and the conventional cell measures 6.6068, 6.6068 and 6.6068 Å, with angles of 90.00, 90.00 and 90.00 degrees. The inequivalent atoms are Ba at (0.0000, 0.0000, 0.5000), Tl at (0.0000, 0.0000, 0.0000) and Br at (0.5000, 0.5000, 0.5000).

The value obtained for the uncorrected energy is -0.1891 Ry/atom. Its uncorrected formation energy is -0.383 eV/atom.